Entry 1:
Entry from the Alexandria database: HoMg5Ag2 after structural relaxation (PBE-GGA).

## Properties
magnetization = 0.00 μB per formula unit
Fermi-level density of states = 0.48 states/eV per atom
energy of formation from the pure elements = -0.1555 eV per atom
ρ = 4720 kg/m³
space-group type = No. 71
DFT total energy = -2.44 eV/atom

Cell and atoms, written as CIF:
```
data_HoMg5Ag2
_symmetry_space_group_name_H-M 'P 1'
_symmetry_Int_Tables_number 1
_symmetry_space_group_name_Hall 'P 1'
_cell_length_a 3.478
_cell_length_b 7.420
_cell_length_c 7.420
_cell_angle_alpha 74.97
_cell_angle_beta 76.44
_cell_angle_gamma 76.44
loop_
_atom_site_label
_atom_site_type_symbol
_atom_site_fract_x
_atom_site_fract_y
_atom_site_fract_z
_atom_site_occupancy
Ag1 Ag 0.265 0.235 0.235 1
Ag2 Ag 0.735 0.765 0.765 1
Mg1 Mg 0.000 0.500 0.500 1
Mg2 Mg 0.641 0.147 0.571 1
Mg3 Mg 0.359 0.429 0.853 1
Mg4 Mg 0.641 0.571 0.147 1
Mg5 Mg 0.359 0.853 0.429 1
Ho1 Ho 0.000 0.000 0.000 1
```



Entry 2:
Entry from the Alexandria database: Ho3MgAg3 after structural relaxation (PBE-GGA).

## Properties
magnetization = 0.00 μB per formula unit
Fermi-level density of states = 0.78 states/eV per atom
energy of formation from the pure elements = -0.1337 eV per atom
ρ = 8034 kg/m³
space-group type = No. 12
DFT total energy = -3.55 eV/atom

Cell and atoms, written as CIF:
```
data_Ho3MgAg3
_symmetry_space_group_name_H-M 'P 1'
_symmetry_Int_Tables_number 1
_symmetry_space_group_name_Hall 'P 1'
_cell_length_a 7.068
_cell_length_b 7.068
_cell_length_c 7.020
_cell_angle_alpha 92.10
_cell_angle_beta 92.10
_cell_angle_gamma 95.73
loop_
_atom_site_label
_atom_site_type_symbol
_atom_site_fract_x
_atom_site_fract_y
_atom_site_fract_z
_atom_site_occupancy
Ho1 Ho 0.642 0.642 0.365 1
Ho2 Ho 0.358 0.358 0.635 1
Ho3 Ho 0.172 0.828 0.500 1
Ho4 Ho 0.828 0.172 0.500 1
Ho5 Ho 0.737 0.263 0.000 1
Ho6 Ho 0.263 0.737 0.000 1
Ag1 Ag 0.980 0.505 0.721 1
Ag2 Ag 0.505 0.980 0.721 1
Ag3 Ag 0.020 0.495 0.279 1
Ag4 Ag 0.917 0.917 0.169 1
Ag5 Ag 0.495 0.020 0.279 1
Ag6 Ag 0.083 0.083 0.831 1
Mg1 Mg 0.284 0.284 0.138 1
Mg2 Mg 0.716 0.716 0.862 1
```



Entry 3:
Entry from the Alexandria database: HoMgAg6 after structural relaxation (PBE-GGA).

## Properties
magnetization = 0.00 μB per formula unit
Fermi-level density of states = 0.52 states/eV per atom
energy of formation from the pure elements = -0.1192 eV per atom
ρ = 8932 kg/m³
space-group type = No. 123
DFT total energy = -3.03 eV/atom

Cell and atoms, written as CIF:
```
data_HoMgAg6
_symmetry_space_group_name_H-M 'P 1'
_symmetry_Int_Tables_number 1
_symmetry_space_group_name_Hall 'P 1'
_cell_length_a 4.340
_cell_length_b 4.340
_cell_length_c 8.256
_cell_angle_alpha 90.00
_cell_angle_beta 90.00
_cell_angle_gamma 90.00
loop_
_atom_site_label
_atom_site_type_symbol
_atom_site_fract_x
_atom_site_fract_y
_atom_site_fract_z
_atom_site_occupancy
Ag1 Ag 0.000 0.500 0.262 1
Ag2 Ag 0.500 0.500 0.500 1
Ag3 Ag 0.000 0.500 0.738 1
Ag4 Ag 0.500 0.500 0.000 1
Ag5 Ag 0.500 0.000 0.738 1
Ag6 Ag 0.500 0.000 0.262 1
Mg1 Mg 0.000 0.000 0.500 1
Ho1 Ho 0.000 0.000 0.000 1
```



Entry 4:
Entry from the Alexandria database: HoMg9Ag3 after structural relaxation (PBE-GGA).

## Properties
magnetization = 0.00 μB per formula unit
Fermi-level density of states = 0.44 states/eV per atom
energy of formation from the pure elements = -0.1389 eV per atom
ρ = 4198 kg/m³
space-group type = No. 12
DFT total energy = -2.25 eV/atom

Cell and atoms, written as CIF:
```
data_HoMg9Ag3
_symmetry_space_group_name_H-M 'P 1'
_symmetry_Int_Tables_number 1
_symmetry_space_group_name_Hall 'P 1'
_cell_length_a 5.602
_cell_length_b 7.591
_cell_length_c 7.595
_cell_angle_alpha 82.32
_cell_angle_beta 68.36
_cell_angle_gamma 68.74
loop_
_atom_site_label
_atom_site_type_symbol
_atom_site_fract_x
_atom_site_fract_y
_atom_site_fract_z
_atom_site_occupancy
Ho1 Ho 0.000 0.000 0.000 1
Mg1 Mg 0.489 0.792 0.215 1
Mg2 Mg 0.005 0.339 0.647 1
Mg3 Mg 0.348 0.661 0.647 1
Mg4 Mg 0.296 0.208 0.215 1
Mg5 Mg 0.652 0.339 0.353 1
Mg6 Mg 0.704 0.792 0.785 1
Mg7 Mg 0.000 0.500 0.000 1
Mg8 Mg 0.995 0.661 0.353 1
Mg9 Mg 0.511 0.208 0.785 1
Ag1 Ag 0.500 0.500 0.000 1
Ag2 Ag 0.500 0.000 0.500 1
Ag3 Ag 0.000 0.000 0.500 1
```



Entry 5:
Entry from the Alexandria database: HoMg2Ag8 after structural relaxation (PBE-GGA).

## Properties
magnetization = 0.00 μB per formula unit
Fermi-level density of states = 0.37 states/eV per atom
energy of formation from the pure elements = -0.1728 eV per atom
ρ = 8612 kg/m³
space-group type = No. 12
DFT total energy = -2.95 eV/atom

Cell and atoms, written as CIF:
```
data_HoMg2Ag8
_symmetry_space_group_name_H-M 'P 1'
_symmetry_Int_Tables_number 1
_symmetry_space_group_name_Hall 'P 1'
_cell_length_a 4.324
_cell_length_b 6.786
_cell_length_c 7.750
_cell_angle_alpha 107.36
_cell_angle_beta 106.20
_cell_angle_gamma 90.00
loop_
_atom_site_label
_atom_site_type_symbol
_atom_site_fract_x
_atom_site_fract_y
_atom_site_fract_z
_atom_site_occupancy
Ag1 Ag 0.684 0.911 0.369 1
Ag2 Ag 0.142 0.200 0.285 1
Ag3 Ag 0.956 0.277 0.911 1
Ag4 Ag 0.044 0.723 0.089 1
Ag5 Ag 0.403 0.535 0.806 1
Ag6 Ag 0.597 0.465 0.194 1
Ag7 Ag 0.858 0.800 0.715 1
Ag8 Ag 0.316 0.089 0.631 1
Mg1 Mg 0.225 0.650 0.450 1
Mg2 Mg 0.775 0.350 0.550 1
Ho1 Ho 0.500 0.000 0.000 1
```



Entry 6:
Entry from the Alexandria database: HoMgAg after structural relaxation (PBE-GGA).

## Properties
magnetization = 0.00 μB per formula unit
Fermi-level density of states = 0.86 states/eV per atom
energy of formation from the pure elements = -0.1794 eV per atom
ρ = 7057 kg/m³
space-group type = No. 107
DFT total energy = -3.19 eV/atom

Cell and atoms, written as CIF:
```
data_HoMgAg
_symmetry_space_group_name_H-M 'P 1'
_symmetry_Int_Tables_number 1
_symmetry_space_group_name_Hall 'P 1'
_cell_length_a 3.465
_cell_length_b 3.465
_cell_length_c 6.317
_cell_angle_alpha 105.92
_cell_angle_beta 105.92
_cell_angle_gamma 90.00
loop_
_atom_site_label
_atom_site_type_symbol
_atom_site_fract_x
_atom_site_fract_y
_atom_site_fract_z
_atom_site_occupancy
Ho1 Ho 0.938 0.938 0.876 1
Ag1 Ag 0.272 0.272 0.544 1
Mg1 Mg 0.640 0.640 0.280 1
```



Entry 7:
Entry from the Alexandria database: Ho5MgAg4 after structural relaxation (PBE-GGA).

## Properties
magnetization = 0.00 μB per formula unit
Fermi-level density of states = 0.64 states/eV per atom
energy of formation from the pure elements = -0.2738 eV per atom
ρ = 8770 kg/m³
space-group type = No. 123
DFT total energy = -3.86 eV/atom

Cell and atoms, written as CIF:
```
data_Ho5MgAg4
_symmetry_space_group_name_H-M 'P 1'
_symmetry_Int_Tables_number 1
_symmetry_space_group_name_Hall 'P 1'
_cell_length_a 3.631
_cell_length_b 3.631
_cell_length_c 18.383
_cell_angle_alpha 90.00
_cell_angle_beta 90.00
_cell_angle_gamma 90.00
loop_
_atom_site_label
_atom_site_type_symbol
_atom_site_fract_x
_atom_site_fract_y
_atom_site_fract_z
_atom_site_occupancy
Ho1 Ho 0.500 0.500 0.303 1
Ho2 Ho 0.500 0.500 0.697 1
Ho3 Ho 0.500 0.500 0.500 1
Ho4 Ho 0.500 0.500 0.107 1
Ho5 Ho 0.500 0.500 0.893 1
Mg1 Mg 0.000 0.000 0.000 1
Ag1 Ag 0.000 0.000 0.202 1
Ag2 Ag 0.000 0.000 0.598 1
Ag3 Ag 0.000 0.000 0.402 1
Ag4 Ag 0.000 0.000 0.798 1
```



Entry 8:
Entry from the Alexandria database: Ho2Mg2Ag after structural relaxation (PBE-GGA).

## Properties
magnetization = 0.00 μB per formula unit
Fermi-level density of states = 0.63 states/eV per atom
energy of formation from the pure elements = -0.1467 eV per atom
ρ = 6419 kg/m³
space-group type = No. 71
DFT total energy = -3.19 eV/atom

Cell and atoms, written as CIF:
```
data_Ho2Mg2Ag
_symmetry_space_group_name_H-M 'P 1'
_symmetry_Int_Tables_number 1
_symmetry_space_group_name_Hall 'P 1'
_cell_length_a 3.598
_cell_length_b 3.568
_cell_length_c 11.311
_cell_angle_alpha 61.76
_cell_angle_beta 80.84
_cell_angle_gamma 90.01
loop_
_atom_site_label
_atom_site_type_symbol
_atom_site_fract_x
_atom_site_fract_y
_atom_site_fract_z
_atom_site_occupancy
Ho1 Ho 0.591 0.275 0.817 1
Ho2 Ho 0.409 0.725 0.183 1
Mg1 Mg 0.796 0.885 0.410 1
Mg2 Mg 0.204 0.115 0.590 1
Ag1 Ag 0.000 0.500 0.000 1
```